The following is a PBE calculation of a relaxed structure of VPt3S, from Alexandria.

Calculated values
Density = 11.1 g/cm3
Total magnetization = 0.00 μB per formula unit
Offset from the most stable computed form = 0.679 eV/atom

abc: 4.6385 4.6385 4.6385
angles: 90.00 90.00 90.00
Element x y z (fractional)
V1 0.0000 0.0000 0.0000
Pt1 0.0000 0.0000 0.5000
Pt2 0.0000 0.5000 0.0000
Pt3 0.5000 0.0000 0.0000
S1 0.5000 0.5000 0.5000